Record 1
Entry from Alexandria: TlMoBr2 after structural relaxation (PBE).

Results
final energy: -3.732 eV/atom
total magnetic moment: 5.000 μB/f.u.
energy above the most stable polymorph in this dataset: 420 meV per atom
crystal system: cubic

Cell lengths 7.670, 7.670, 7.670 Å; angles 90.00, 90.00, 90.00 degrees
Space group Fm-3m (No. 225)
Asymmetric unit:
1 Tl 0.000 0.000 0.000 [4 per cell]
2 Mo 0.000 0.000 0.500 [4 per cell]
3 Br 0.250 0.250 0.250 [8 per cell]


Record 2
Entry from Alexandria: TlMoBr2 after structural relaxation (PBE).

Results
final energy: -4.113 eV/atom
total magnetic moment: 2.770 μB/f.u.
energy above the most stable polymorph in this dataset: 39 meV per atom
crystal system: monoclinic

Cell lengths 5.783, 3.660, 7.274 Å; angles 90.00, 113.32, 90.00 degrees
Space group P2/m (No. 10)
Asymmetric unit:
1 Tl 0.000 0.000 0.000 [1 per cell]
2 Mo 0.500 0.000 0.000 [1 per cell]
3 Br 0.360 0.500 0.718 [2 per cell]


Which of these has the lowest total magnetic moment?
number 2


The highest energy above the most stable polymorph in this dataset belongs to which entry?
number 1


Repeat the first record exactly.
Entry from Alexandria: TlMoBr2 after structural relaxation (PBE).

Results
final energy: -3.732 eV/atom
total magnetic moment: 5.000 μB/f.u.
energy above the most stable polymorph in this dataset: 420 meV per atom
crystal system: cubic

Cell lengths 7.670, 7.670, 7.670 Å; angles 90.00, 90.00, 90.00 degrees
Space group Fm-3m (No. 225)
Asymmetric unit:
1 Tl 0.000 0.000 0.000 [4 per cell]
2 Mo 0.000 0.000 0.500 [4 per cell]
3 Br 0.250 0.250 0.250 [8 per cell]